# 1
A plane-wave DFT calculation with SCAN was carried out for a crystal of HgMo relaxed with PBEsol.

abc: 4.1797 4.1797 4.1797
angles: 60.00 60.00 60.00
Positions (direct):
1 Hg 0.0000 0.0000 0.0000
2 Mo 0.7500 0.7500 0.7500

Values from the calculation:
ΔH_f (0 K) = 2219 meV/atom
density of states at the Fermi level = 0.80 states/eV per atom

# 2
A plane-wave DFT calculation with SCAN was carried out for a crystal of Hg2Mo relaxed with PBEsol.

abc: 4.7659 4.7659 5.7784
angles: 90.00 90.00 120.00
Positions (direct):
1 Hg 0.0000 0.0000 0.0000
2 Hg 0.0000 0.0000 0.5000
3 Hg 0.3333 0.6667 0.2500
4 Hg 0.6667 0.3333 0.7500
5 Mo 0.3333 0.6667 0.7500
6 Mo 0.6667 0.3333 0.2500

Values from the calculation:
ΔH_f (0 K) = 829 meV/atom
density of states at the Fermi level = 0.48 states/eV per atom

# 3
A plane-wave DFT calculation with SCAN was carried out for a crystal of HgMoSeN2 relaxed with PBEsol.

abc: 3.8841 3.8841 5.3321
angles: 90.00 90.00 90.00
Positions (direct):
1 Hg 0.0000 0.0000 0.0000
2 Mo 0.5000 0.5000 0.5000
3 Se 0.5000 0.5000 0.0000
4 N 0.0000 0.5000 0.5000
5 N 0.5000 0.0000 0.5000

Values from the calculation:
formation energy without anion corrections = 0.338 eV per atom
density of states at the Fermi level = 0.32 states/eV per atom

# 4
A plane-wave DFT calculation with SCAN was carried out for a crystal of NbHg3Mo relaxed with PBEsol.

abc: 5.1015 5.1015 5.1015
angles: 90.00 90.00 90.00
Positions (direct):
1 Nb 0.0000 0.0000 0.0000
2 Hg 0.0000 0.5000 0.5000
3 Hg 0.5000 0.0000 0.5000
4 Hg 0.5000 0.5000 0.0000
5 Mo 0.5000 0.5000 0.5000

Values from the calculation:
ΔH_f (0 K) = 1402 meV/atom
density of states at the Fermi level = 0.76 states/eV per atom

# 5
A plane-wave DFT calculation with SCAN was carried out for a crystal of Nb2HgMoO relaxed with PBEsol.

abc: 4.0873 4.0873 4.8204
angles: 90.00 90.00 90.00
Positions (direct):
1 Nb 0.0000 0.5000 0.0000
2 Nb 0.5000 0.0000 0.0000
3 Hg 0.0000 0.0000 0.5000
4 Mo 0.5000 0.5000 0.5000
5 O 0.0000 0.0000 0.0000

Values from the calculation:
formation energy without anion corrections = -0.201 eV per atom
density of states at the Fermi level = 0.75 states/eV per atom

# 6
A plane-wave DFT calculation with SCAN was carried out for a crystal of TaNbHg2Mo relaxed with PBEsol.

abc: 5.1024 5.1024 4.5232
angles: 90.00 90.00 90.00
Positions (direct):
1 Ta 0.0000 0.0000 0.0000
2 Nb 0.5000 0.5000 0.5000
3 Hg 0.0000 0.5000 0.5000
4 Hg 0.5000 0.0000 0.5000
5 Mo 0.5000 0.5000 0.0000

Values from the calculation:
ΔH_f (0 K) = 1925 meV/atom
density of states at the Fermi level = 0.77 states/eV per atom

# 7
A plane-wave DFT calculation with SCAN was carried out for a crystal of ReNiHg2Mo relaxed with PBEsol.

abc: 5.1306 5.1306 4.3034
angles: 90.00 90.00 90.00
Positions (direct):
1 Re 0.0000 0.0000 0.0000
2 Ni 0.5000 0.5000 0.0000
3 Hg 0.0000 0.5000 0.5000
4 Hg 0.5000 0.0000 0.5000
5 Mo 0.5000 0.5000 0.5000

Values from the calculation:
ΔH_f (0 K) = 2199 meV/atom
density of states at the Fermi level = 0.79 states/eV per atom

# 8
A plane-wave DFT calculation with SCAN was carried out for a crystal of Tc2NiHgMo relaxed with PBEsol.

abc: 4.8334 4.8334 4.4581
angles: 90.00 90.00 90.00
Positions (direct):
1 Tc 0.0000 0.5000 0.0000
2 Tc 0.5000 0.0000 0.0000
3 Ni 0.0000 0.0000 0.5000
4 Hg 0.0000 0.0000 0.0000
5 Mo 0.5000 0.5000 0.5000

Values from the calculation:
ΔH_f (0 K) = 2339 meV/atom
density of states at the Fermi level = 0.68 states/eV per atom

# 9
A plane-wave DFT calculation with SCAN was carried out for a crystal of Hg2Mo2O7 relaxed with PBEsol.

abc: 6.0409 3.9212 14.4080
angles: 90.00 104.62 90.00
Positions (direct):
1 Hg 0.1448 0.1706 0.0626
2 Hg 0.1448 0.8294 0.5626
3 Hg 0.8552 0.1706 0.4374
4 Hg 0.8552 0.8294 0.9374
5 Mo 0.3105 0.4694 0.8151
6 Mo 0.3105 0.5306 0.3151
7 Mo 0.6895 0.4694 0.6849
8 Mo 0.6895 0.5306 0.1849
9 O 0.0000 0.4604 0.2500
10 O 0.0000 0.5396 0.7500
11 O 0.2947 0.4737 0.4311
12 O 0.2947 0.5263 0.9311
13 O 0.3100 0.0259 0.8034
14 O 0.3100 0.9741 0.3034
15 O 0.3654 0.4686 0.1688
16 O 0.3654 0.5314 0.6688
17 O 0.6346 0.4686 0.3312
18 O 0.6346 0.5314 0.8312
19 O 0.6900 0.0259 0.6966
20 O 0.6900 0.9741 0.1966
21 O 0.7053 0.4737 0.0689
22 O 0.7053 0.5263 0.5689

Values from the calculation:
formation energy without anion corrections = -1.625 eV per atom
density of states at the Fermi level = 0.00 states/eV per atom

# 10
A plane-wave DFT calculation with SCAN was carried out for a crystal of Hg2Mo2O7 relaxed with PBEsol.

abc: 7.1559 7.1559 14.4140
angles: 102.85 102.85 65.55
Positions (direct):
1 Hg 0.1111 0.7607 0.9378
2 Hg 0.2393 0.8889 0.5622
3 Hg 0.2650 0.5713 0.4347
4 Hg 0.4287 0.7350 0.0653
5 Hg 0.5713 0.2650 0.9347
6 Hg 0.7350 0.4287 0.5653
7 Hg 0.7607 0.1111 0.4378
8 Hg 0.8889 0.2393 0.0622
9 Mo 0.1259 0.1784 0.8115
10 Mo 0.1784 0.1259 0.3115
11 Mo 0.3215 0.3622 0.6828
12 Mo 0.3622 0.3215 0.1828
13 Mo 0.6378 0.6785 0.8172
14 Mo 0.6785 0.6378 0.3172
15 Mo 0.8216 0.8741 0.6885
16 Mo 0.8741 0.8216 0.1885
17 O 0.0476 0.9524 0.7500
18 O 0.0793 0.5694 0.6737
19 O 0.1097 0.6204 0.2201
20 O 0.1198 0.1723 0.9287
21 O 0.1468 0.2190 0.1703
22 O 0.1723 0.1198 0.4287
23 O 0.2190 0.1468 0.6703
24 O 0.2975 0.3368 0.8308
25 O 0.3137 0.3896 0.0707
26 O 0.3368 0.2975 0.3308
27 O 0.3796 0.8903 0.2799
28 O 0.3896 0.3137 0.5707
29 O 0.4306 0.9207 0.8263
30 O 0.4761 0.5239 0.7500
31 O 0.5239 0.4761 0.2500
32 O 0.5694 0.0793 0.1737
33 O 0.6104 0.6863 0.4293
34 O 0.6204 0.1097 0.7201
35 O 0.6632 0.7025 0.6692
36 O 0.6863 0.6104 0.9293
37 O 0.7025 0.6632 0.1692
38 O 0.7810 0.8532 0.3297
39 O 0.8277 0.8802 0.5713
40 O 0.8532 0.7810 0.8297
41 O 0.8802 0.8277 0.0713
42 O 0.8903 0.3796 0.7799
43 O 0.9207 0.4306 0.3263
44 O 0.9524 0.0476 0.2500

Values from the calculation:
formation energy without anion corrections = -1.628 eV per atom
density of states at the Fermi level = 0.00 states/eV per atom

# 11
A plane-wave DFT calculation with SCAN was carried out for a crystal of Hg2Mo2O7 relaxed with PBEsol.

abc: 7.0994 7.1577 8.1583
angles: 64.38 65.99 66.21
Positions (direct):
1 Hg 0.1278 0.3302 0.3786
2 Hg 0.3264 0.1738 0.6290
3 Hg 0.6736 0.8262 0.3710
4 Hg 0.8722 0.6698 0.6214
5 Mo 0.1967 0.6245 0.8764
6 Mo 0.3109 0.8719 0.1342
7 Mo 0.6891 0.1281 0.8658
8 Mo 0.8033 0.3755 0.1236
9 O 0.0316 0.4991 0.8371
10 O 0.0948 0.1015 0.1507
11 O 0.2133 0.7804 0.0054
12 O 0.2546 0.6911 0.3573
13 O 0.3164 0.7553 0.6477
14 O 0.4011 0.3912 0.9356
15 O 0.4780 0.0415 0.8453
16 O 0.5220 0.9585 0.1547
17 O 0.5989 0.6088 0.0644
18 O 0.6836 0.2447 0.3523
19 O 0.7454 0.3089 0.6427
20 O 0.7867 0.2196 0.9946
21 O 0.9052 0.8985 0.8493
22 O 0.9684 0.5009 0.1629

Values from the calculation:
formation energy without anion corrections = -1.629 eV per atom
density of states at the Fermi level = 0.00 states/eV per atom

# 12
A plane-wave DFT calculation with SCAN was carried out for a crystal of Hg2Mo5O16 relaxed with PBEsol.

abc: 9.2484 5.4507 14.1577
angles: 90.00 109.42 90.00
Positions (direct):
1 Hg 0.0890 0.2458 0.1975
2 Hg 0.0890 0.7542 0.6975
3 Hg 0.9110 0.2458 0.3025
4 Hg 0.9110 0.7542 0.8025
5 Mo 0.2683 0.2119 0.5692
6 Mo 0.2683 0.7881 0.0692
7 Mo 0.3701 0.3258 0.9104
8 Mo 0.3701 0.6742 0.4104
9 Mo 0.5000 0.1402 0.2500
10 Mo 0.5000 0.8598 0.7500
11 Mo 0.6299 0.3258 0.5896
12 Mo 0.6299 0.6742 0.0896
13 Mo 0.7317 0.2119 0.9308
14 Mo 0.7317 0.7881 0.4308
15 O 0.0975 0.1582 0.4773
16 O 0.0975 0.8418 0.9773
17 O 0.1930 0.3496 0.8240
18 O 0.1930 0.6504 0.3240
19 O 0.2224 0.4486 0.6334
20 O 0.2224 0.5514 0.1334
21 O 0.2904 0.0510 0.1663
22 O 0.2904 0.9490 0.6663
23 O 0.3469 0.0986 0.9886
24 O 0.3469 0.9014 0.4886
25 O 0.3790 0.3953 0.4984
26 O 0.3790 0.6047 0.9984
27 O 0.4388 0.3369 0.3242
28 O 0.4388 0.6631 0.8242
29 O 0.4868 0.1675 0.8440
30 O 0.4868 0.8325 0.3440
31 O 0.5132 0.1675 0.6560
32 O 0.5132 0.8325 0.1560
33 O 0.5612 0.3369 0.1758
34 O 0.5612 0.6631 0.6758
35 O 0.6210 0.3953 0.0016
36 O 0.6210 0.6047 0.5016
37 O 0.6531 0.0986 0.5114
38 O 0.6531 0.9014 0.0114
39 O 0.7096 0.0510 0.3337
40 O 0.7096 0.9490 0.8337
41 O 0.7776 0.4486 0.8666
42 O 0.7776 0.5514 0.3666
43 O 0.8070 0.3496 0.6760
44 O 0.8070 0.6504 0.1760
45 O 0.9025 0.1582 0.0227
46 O 0.9025 0.8418 0.5227

Values from the calculation:
formation energy without anion corrections = -1.846 eV per atom
density of states at the Fermi level = 0.00 states/eV per atom